1.
Here is crystalline Y2Ni3Mo4C3 at its relaxed geometry from OQMD. Energies are from PBE.

a b c (Å): 5.3925 5.3925 13.6411
angles (deg): 101.94 101.94 60.04
Sites, in units of the cell vectors:
C 0.5000 0.0000 0.0000
C 0.8460 0.3273 0.0000
C 0.1540 0.6727 0.0000
C 0.3273 0.8460 0.5000
C 0.0000 0.5000 0.5000
C 0.6727 0.1540 0.5000
Mo 0.2079 0.0140 0.0824
Mo 0.8495 0.6942 0.0824
Mo 0.3058 0.1505 0.4176
Mo 0.9860 0.7921 0.4176
Mo 0.0140 0.2079 0.5824
Mo 0.6942 0.8495 0.5824
Mo 0.1505 0.3058 0.9176
Mo 0.7921 0.9860 0.9176
Ni 0.0872 0.4138 0.2479
Ni 0.0864 0.9136 0.2500
Ni 0.5862 0.9128 0.2521
Ni 0.4138 0.0872 0.7479
Ni 0.9136 0.0864 0.7500
Ni 0.9128 0.5862 0.7521
Y 0.5451 0.3801 0.1271
Y 0.6199 0.4549 0.3729
Y 0.3801 0.5451 0.6271
Y 0.4549 0.6199 0.8729

Values from the calculation:
space group = No. 15
E = -8.61 eV/atom
crystal system = monoclinic

***

2.
Here is crystalline Zr2Ni3Mo4C3 at its relaxed geometry from OQMD. Energies are from PBE.

a b c (Å): 5.3073 5.3073 13.4293
angles (deg): 101.81 101.81 60.01
Sites, in units of the cell vectors:
C 0.6650 0.1697 0.0000
C 0.0000 0.5000 0.0000
C 0.3350 0.8303 0.0000
C 0.1697 0.6650 0.5000
C 0.5000 0.0000 0.5000
C 0.8303 0.3350 0.5000
Mo 0.6954 0.8539 0.0844
Mo 0.0194 0.2044 0.0846
Mo 0.7956 0.9806 0.4154
Mo 0.1461 0.3046 0.4156
Mo 0.8539 0.6954 0.5844
Mo 0.2044 0.0194 0.5846
Mo 0.9806 0.7956 0.9154
Mo 0.3046 0.1461 0.9156
Ni 0.4129 0.1016 0.2479
Ni 0.9265 0.0735 0.2500
Ni 0.8984 0.5871 0.2521
Ni 0.1016 0.4129 0.7479
Ni 0.0735 0.9265 0.7500
Ni 0.5871 0.8984 0.7521
Zr 0.3779 0.5417 0.1204
Zr 0.4583 0.6221 0.3796
Zr 0.5417 0.3779 0.6204
Zr 0.6221 0.4583 0.8796

Values from the calculation:
space group = No. 15
E = -8.99 eV/atom
crystal system = monoclinic

***

3.
Here is crystalline Zr4Ni3Mo2C3 at its relaxed geometry from OQMD. Energies are from PBE.

a b c (Å): 5.5789 5.5789 13.1711
angles (deg): 102.55 102.55 60.07
Sites, in units of the cell vectors:
C 0.0000 0.5000 0.0000
C 0.6645 0.1714 0.0001
C 0.8286 0.3355 0.4999
C 0.5000 0.0000 0.5000
C 0.1714 0.6645 0.5001
C 0.3355 0.8286 0.9999
Mo 0.3523 0.5273 0.0793
Mo 0.4727 0.6477 0.4207
Mo 0.5273 0.3523 0.5793
Mo 0.6477 0.4727 0.9207
Ni 0.6749 0.5837 0.2489
Ni 0.1565 0.8435 0.2500
Ni 0.4163 0.3251 0.2511
Ni 0.5837 0.6749 0.7489
Ni 0.8435 0.1565 0.7500
Ni 0.3251 0.4163 0.7511
Zr 0.7020 0.8787 0.1109
Zr 0.0435 0.1969 0.1110
Zr 0.8031 0.9565 0.3890
Zr 0.1213 0.2980 0.3891
Zr 0.8787 0.7020 0.6109
Zr 0.1969 0.0435 0.6110
Zr 0.9565 0.8031 0.8890
Zr 0.2980 0.1213 0.8891

Values from the calculation:
space group = No. 15
E = -8.73 eV/atom
crystal system = monoclinic